Here is crystalline TiFe3I9 at its relaxed geometry from Alexandria. Energies are from GGA-PBE.

Lattice parameters (Å, degrees): 10.8748 10.8748 14.0390 123.35 123.35 54.92
Atoms (fractional coordinates):
Ti 0.2245 0.7755 0.5000
Ti 0.7755 0.2245 0.0000
Fe 0.0158 0.2498 0.8199
Fe 0.2498 0.0158 0.3199
Fe 0.2966 0.4358 0.6689
Fe 0.4358 0.2966 0.1689
Fe 0.6746 0.7880 0.2163
Fe 0.7880 0.6746 0.7163
I 0.0835 0.1785 0.1757
I 0.0885 0.9096 0.3210
I 0.1738 0.4255 0.0111
I 0.1785 0.0835 0.6757
I 0.3112 0.6831 0.6900
I 0.3429 0.4533 0.3585
I 0.4255 0.1738 0.5111
I 0.4533 0.3429 0.8585
I 0.4546 0.7556 0.2173
I 0.5149 0.9892 0.0986
I 0.5171 0.7806 0.5547
I 0.6831 0.3112 0.1900
I 0.7556 0.4546 0.7173
I 0.7806 0.5171 0.0547
I 0.8132 0.9043 0.9277
I 0.9043 0.8132 0.4277
I 0.9096 0.0885 0.8210
I 0.9892 0.5149 0.5986

Results
- Density of states at the Fermi level: 35.6 states/eV/cell
- Formation energy (no corrections): -228.2 meV/atom